Here is a relaxed AcCrBiO6 crystal from Alexandria. Energies are from GGA+U.

CIF file:
```
data_AcCrBiO6
_chemical_formula_sum 'Ac2 Cr2 Bi2 O12'
_cell_length_a 5.4006
_cell_length_b 5.4006
_cell_length_c 10.7926
_cell_angle_alpha 90.00
_cell_angle_beta 90.00
_cell_angle_gamma 120.00
_space_group_name_H-M_alt 'P -3 1 c'
_space_group_IT_number 163
_space_group_name_Hall '-P 3 2c'
loop_
_atom_site_label
_atom_site_fract_x
_atom_site_fract_y
_atom_site_fract_z
Ac1 0.0000 0.0000 0.0000
Cr1 0.3333 0.6667 0.2500
Bi1 0.3333 0.6667 0.7500
O1 0.0269 0.3826 0.1454
```

Output
Electronic total energy ... -0.5050 Ry/atom